(1)
Here is a relaxed Mn6Pb4Cl19 crystal from Alexandria. Energies are from PBE.

Calculated values
formation energy without anion corrections = -1.00 eV per atom
raw total energy = -4.62 eV per atom

Geometry as POSCAR:
```
Mn6Pb4Cl19
1.0
9.471 0.000 -3.348
-4.735 8.202 -3.348
0.000 0.000 10.045
Mn Pb Cl
6 4 19
Direct
0.346 0.500 0.846 Mn
0.654 0.500 0.154 Mn
0.154 0.654 0.500 Mn
0.846 0.346 0.500 Mn
0.500 0.846 0.346 Mn
0.500 0.154 0.654 Mn
0.000 0.000 0.696 Pb
0.000 0.696 0.000 Pb
0.304 0.304 0.304 Pb
0.696 0.000 0.000 Pb
0.657 0.000 0.657 Cl
0.343 0.000 0.343 Cl
0.343 0.343 0.000 Cl
0.657 0.657 0.000 Cl
0.000 0.657 0.657 Cl
0.000 0.343 0.343 Cl
0.000 0.000 0.000 Cl
0.373 0.330 0.614 Cl
0.627 0.242 0.957 Cl
0.716 0.758 0.386 Cl
0.957 0.627 0.242 Cl
0.284 0.670 0.043 Cl
0.614 0.373 0.330 Cl
0.043 0.284 0.670 Cl
0.386 0.716 0.758 Cl
0.670 0.043 0.284 Cl
0.242 0.957 0.627 Cl
0.330 0.614 0.373 Cl
0.758 0.386 0.716 Cl
```

---

(2)
Here is a relaxed MnPb2Cl crystal from Alexandria. Energies are from PBE.

Calculated values
formation energy without anion corrections = -0.04 eV per atom
distance to the lowest polymorph of the same formula = 6.2 kJ per mole of atoms
raw total energy = -4.65 eV per atom

Geometry as POSCAR:
```
MnPb2Cl
1.0
6.385 0.032 0.004
2.907 5.685 -0.004
-3.803 -4.228 2.903
Cl Mn Pb
1 1 2
Direct
0.430 0.430 0.000 Cl
0.269 0.769 0.500 Mn
0.050 0.050 0.000 Pb
0.751 0.251 0.500 Pb
```

---

(3)
Here is a relaxed MnPb3Cl8 crystal from Alexandria. Energies are from PBE.

Calculated values
formation energy without anion corrections = -1.12 eV per atom
raw total energy = -4.04 eV per atom

Geometry as POSCAR:
```
MnPb3Cl8
1.0
-0.270 7.203 -1.685
-6.438 -3.544 -0.891
-2.033 1.741 7.768
Mn Pb Cl
1 3 8
Direct
0.500 0.500 0.500 Mn
0.000 0.500 0.257 Pb
0.500 0.500 0.000 Pb
0.500 0.000 0.743 Pb
0.704 0.296 0.500 Cl
0.735 0.265 0.000 Cl
0.711 0.741 0.722 Cl
0.741 0.711 0.278 Cl
0.259 0.289 0.278 Cl
0.289 0.259 0.722 Cl
0.265 0.735 0.000 Cl
0.296 0.704 0.500 Cl
```